Record 1
CoTc3S: PBEsol geometry, meta-GGA SCAN.

```
CoTc3S
1.0
4.233 0.000 0.000
0.000 4.233 0.000
0.000 0.000 4.233
S Co Tc
1 1 3
Direct
0.000 0.000 0.000
0.500 0.500 0.500
0.000 0.500 0.000
0.000 0.000 0.500
0.500 0.000 0.000
```

space-group type: Pm-3m, No. 221
offset from the most stable computed form: 0 meV per atom
raw formation energy: 721 meV per atom

Record 2
TaAlHg2: PBEsol geometry, meta-GGA SCAN.

```
TaAlHg2
1.0
3.285 0.000 0.000
0.000 3.285 0.000
0.000 0.000 6.756
Al Hg Ta
1 2 1
Direct
0.500 0.500 0.500
0.000 0.000 0.734
0.000 0.000 0.266
0.500 0.500 0.000
```

space-group type: P4/mmm, No. 123
formation energy: 1.344 eV per formula unit